This record from Alexandria describes a relaxed InNi2As crystal. The functional is GGA-PBE.

Cell and atoms, written as extended XYZ:
```
16
Lattice="7.4071 0.0000 0.0000 0.0000 6.2635 0.0000 -0.0051 0.0000 5.4006" Properties=species:S:1:pos:R:3 pbc="T T T"
In 0.8374 0.6819 1.4870
In 0.8349 2.4498 4.1873
In 6.5671 3.8137 1.2132
In 6.5646 5.5815 3.9135
Ni 1.2988 4.5137 2.6527
Ni 1.2962 4.8815 5.3530
Ni 3.0498 1.2818 0.0232
Ni 3.0473 1.8499 2.7235
Ni 4.3547 4.4135 2.6771
Ni 4.3521 4.9817 5.3774
Ni 6.1058 1.3820 0.0476
Ni 6.1032 1.7498 2.7478
As 2.7845 3.5072 1.0836
As 2.7819 5.8880 3.7839
As 4.6201 0.3755 1.6166
As 4.6175 2.7563 4.3169
```

Properties
Uncorrected energy (eV per atom): -4.979